No. 1
VASP calculation (GGA-PBE) on crystalline Pu8Te3As4 at its relaxed geometry.

Values from the calculation:
DOS(E_F)	6.37	states/eV per atom
total magnetization	45.48	Bohr magnetons per cell
ΔE_f (raw)	-813.6	meV/atom
volume	29.3	A^3/atom

Cell and atoms, written as CIF:
```
data_Pu8Te3As4
_chemical_formula_sum 'Pu16 Te6 As8'
_space_group_name_H-M_alt 'C 1 2/m 1'
_space_group_IT_number 12
_cell_length_a 12.042
_cell_length_b 12.093
_cell_length_c 8.474
_cell_angle_alpha 90.00
_cell_angle_beta 134.54
_cell_angle_gamma 90.00
loop_
_space_group_symop_operation_xyz
'x,y,z'
'-x,-y,-z'
'-x,y,-z'
'x,-y,z'
'x+1/2,y+1/2,z'
'-x+1/2,-y+1/2,-z'
'-x+1/2,y+1/2,-z'
'x+1/2,-y+1/2,z'
loop_
_atom_site_label
_atom_site_type_symbol
_atom_site_fract_x
_atom_site_fract_y
_atom_site_fract_z
Pu1 Pu 0.000 0.241 0.000
Pu2 Pu 0.000 0.242 0.500
Pu3 Pu 0.234 0.000 0.487
Pu4 Pu 0.237 0.000 0.982
Te1 Te 0.000 0.500 0.500
Te2 Te 0.250 0.250 0.500
As1 As 0.000 0.000 0.000
As2 As 0.000 0.000 0.500
As3 As 0.250 0.250 0.000
```

No. 2
VASP calculation (GGA-PBE) on crystalline Pu6Te5As at its relaxed geometry.

Values from the calculation:
DOS(E_F)	5.87	states/eV per atom
total magnetization	22.25	Bohr magnetons per cell
ΔE_f (raw)	-1039.3	meV/atom
volume	29.9	A^3/atom

Cell and atoms, written as CIF:
```
data_Pu6Te5As
_chemical_formula_sum 'Pu12 Te10 As2'
_space_group_name_H-M_alt 'C 1 2/m 1'
_space_group_IT_number 12
_cell_length_a 7.601
_cell_length_b 13.180
_cell_length_c 7.593
_cell_angle_alpha 90.00
_cell_angle_beta 109.57
_cell_angle_gamma 90.00
loop_
_space_group_symop_operation_xyz
'x,y,z'
'-x,-y,-z'
'-x,y,-z'
'x,-y,z'
'x+1/2,y+1/2,z'
'-x+1/2,-y+1/2,-z'
'-x+1/2,y+1/2,-z'
'x+1/2,-y+1/2,z'
loop_
_atom_site_label
_atom_site_type_symbol
_atom_site_fract_x
_atom_site_fract_y
_atom_site_fract_z
Pu1 Pu 0.236 0.000 0.255
Pu2 Pu 0.238 0.159 0.739
Te1 Te 0.000 0.174 0.000
Te2 Te 0.000 0.334 0.500
Te3 Te 0.000 0.500 0.000
As1 As 0.000 0.000 0.500
```